Below is a geometry-optimized Na8Co3O8 structure, with properties calculated at the PBE with a Hubbard U level.

a = 4.699 Å, b = 7.425 Å, c = 9.132 Å
α = 107.55°, β = 104.91°, γ = 90.00°
Site moments in Bohr magnetons follow the coordinates.
Sites, in units of the cell vectors:
O: 0.474 0.705 0.947  0.22
Co: 0.807 0.803 0.613  2.84
Na: 0.033 0.224 0.065  0.00
O: 0.824 0.581 0.648  0.34
O: 0.176 0.419 0.352  0.34
Na: 0.600 0.933 0.199  0.00
O: 0.294 0.201 0.589  0.31
Na: 0.670 0.460 0.340  0.00
Co: 0.500 0.500 0.000  2.52
O: 0.526 0.295 0.053  0.22
O: 0.107 0.992 0.214  0.28
Co: 0.193 0.197 0.387  2.84
Na: 0.823 0.241 0.646  0.00
Na: 0.177 0.759 0.354  0.00
Na: 0.967 0.776 0.935  0.00
Na: 0.330 0.540 0.660  0.00
Na: 0.400 0.067 0.801  0.00
O: 0.893 0.008 0.786  0.28
O: 0.706 0.799 0.411  0.31

- crystal system = monoclinic
- total magnetic moment (Bohr magnetons per cell) = 11.00
- VASP energy (Ry per atom) = -0.3463
- symmetry = No. 12